Density functional theory data (GGA-PBE) for a relaxed MoAuS2N crystal.

Structure (POSCAR):
```
MoAuS2N
1.0
4.834 0.000 0.000
0.000 4.834 0.000
0.000 0.000 3.787
Mo Au S N
1 1 2 1
direct
0.000 0.000 0.000 Mo
0.500 0.500 0.500 Au
0.000 0.500 0.000 S
0.500 0.000 0.000 S
0.000 0.000 0.500 N
```

Computed properties:
As for the energy relative to the lowest polymorph listed for this composition: 0.0 meV per atom.

=====

Density functional theory data (GGA-PBE) for a relaxed MoAuS2N crystal.

Structure (POSCAR):
```
MoAuS2N
1.0
5.010 0.000 0.000
0.000 5.010 0.000
0.000 0.000 3.752
Mo Au S N
1 1 2 1
direct
0.000 0.000 0.000 Mo
0.500 0.500 0.500 Au
0.000 0.500 0.500 S
0.500 0.000 0.500 S
0.500 0.500 0.000 N
```

Computed properties:
As for the energy relative to the lowest polymorph listed for this composition: 1061.5 meV per atom.

=====

Density functional theory data (GGA-PBE) for a relaxed MoAuSeN2 crystal.

Structure (POSCAR):
```
MoAuSeN2
1.0
3.869 0.000 0.000
0.000 3.869 0.000
0.000 0.000 5.554
Mo Au Se N
1 1 1 2
direct
0.000 0.000 0.000 Mo
0.500 0.500 0.500 Au
0.000 0.000 0.500 Se
0.000 0.500 0.000 N
0.500 0.000 0.000 N
```

Computed properties:
As for the energy relative to the lowest polymorph listed for this composition: 0.0 meV per atom.

=====

Density functional theory data (GGA-PBE) for a relaxed MoAuSeN2 crystal.

Structure (POSCAR):
```
MoAuSeN2
1.0
3.887 0.000 0.000
0.000 3.887 0.000
0.000 0.000 7.897
Mo Au Se N
1 1 1 2
direct
0.000 0.000 0.000 Mo
0.500 0.500 0.500 Au
0.500 0.500 0.000 Se
0.000 0.500 0.500 N
0.500 0.000 0.500 N
```

Computed properties:
As for the energy relative to the lowest polymorph listed for this composition: 1420.5 meV per atom.

=====

Density functional theory data (GGA-PBE) for a relaxed SnMoAu2N crystal.

Structure (POSCAR):
```
SnMoAu2N
1.0
5.260 0.000 0.000
0.000 5.260 0.000
0.000 0.000 3.827
Sn Mo Au N
1 1 2 1
direct
0.000 0.000 0.000 Sn
0.500 0.500 0.500 Mo
0.000 0.500 0.500 Au
0.500 0.000 0.500 Au
0.500 0.500 0.000 N
```

=====

Density functional theory data (GGA-PBE) for a relaxed TeMoAuN2 crystal.

Structure (POSCAR):
```
TeMoAuN2
1.0
3.914 0.000 0.000
0.000 3.914 0.000
0.000 0.000 7.542
Te Mo Au N
1 1 1 2
direct
0.000 0.000 0.000 Te
0.500 0.500 0.000 Mo
0.000 0.000 0.500 Au
0.000 0.500 0.500 N
0.500 0.000 0.500 N
```

Computed properties:
As for the energy relative to the lowest polymorph listed for this composition: 1577.8 meV per atom.

=====

| no. | E_form (uncorrected) (eV per atom) | M_tot (μB/cell) |
| --- | --- | --- |
| 1 | 0.42 | 0.0 |
| 2 | 1.48 | 3.7 |
| 3 | 0.51 | 0.0 |
| 4 | 1.93 | 6.8 |
| 5 | 0.52 | 0.0 |
| 6 | 2.06 | 3.9 |